Density functional theory data (PBE-GGA) for Na2CoS after structural relaxation.

Calculated values
Formation energy (no corrections) (eV/atom): -0.192
SG: No. 122
D(E_F) (states/eV per cell): 9.0

Cell: 7.340 7.340 7.340 Å, 94.40 94.40 147.85°
Fractional coordinates of all 8 atoms:
Na: 0.375 0.211 0.336
Na: 0.789 0.125 0.164
Na: 0.875 0.039 0.664
Na: 0.961 0.625 0.836
Co: 0.250 0.750 0.500
Co: 0.500 0.500 0.000
S: 0.000 0.000 0.000
S: 0.750 0.250 0.500



Density functional theory data (PBE-GGA) for SrAl2Cu after structural relaxation.

Calculated values
SG: No. 71
D(E_F) (states/eV per cell): 1.3
DFT formation energy (kJ per mole of atoms): 6

Cell: 5.918 5.918 5.918 Å, 149.02 126.08 63.49°
Fractional coordinates of all 4 atoms:
Sr: 0.000 0.000 0.000
Al: 0.293 0.793 0.500
Al: 0.707 0.207 0.500
Cu: 0.500 0.500 0.000



Density functional theory data (PBE-GGA) for KTbPuI6 after structural relaxation.

Calculated values
Formation energy (no corrections) (eV/atom): -1.293
SG: No. 163
D(E_F) (states/eV per cell): 38.7

Cell: 7.988 7.988 15.795 Å, 90.00 90.00 120.00°
Fractional coordinates of all 18 atoms:
K: 0.000 0.000 0.000
K: 0.000 0.000 0.500
Tb: 0.333 0.667 0.250
Tb: 0.667 0.333 0.750
Pu: 0.333 0.667 0.750
Pu: 0.667 0.333 0.250
I: 0.013 0.368 0.135
I: 0.013 0.645 0.365
I: 0.355 0.368 0.365
I: 0.355 0.987 0.135
I: 0.368 0.013 0.635
I: 0.368 0.355 0.865
I: 0.632 0.645 0.135
I: 0.632 0.987 0.365
I: 0.645 0.013 0.865
I: 0.645 0.632 0.635
I: 0.987 0.355 0.635
I: 0.987 0.632 0.865